KCo2I: optimized geometry, PBE-GGA.

The structure in POSCAR format:
```
KCo2I
1.0
0.0000 3.3450 3.3450
3.3450 0.0000 3.3450
3.3450 3.3450 0.0000
Co I K
2 1 1
Cartesian
5.0175 5.0175 5.0175
1.6725 1.6725 1.6725
3.3450 3.3450 3.3450
0.0000 0.0000 0.0000
```

Computed properties:
- distance to the lowest polymorph of the same formula (meV per atom) = 522.9
- uncorrected formation energy (eV per atom) = 1.15
- final energy (eV per formula unit) = -12.3

***

K3Co5I12: optimized geometry, PBE-GGA.

The structure in POSCAR format:
```
K3Co5I12
1.0
-15.2017 -2.7384 -1.3912
7.9232 -10.5934 -8.0950
4.0542 -0.8212 14.9471
I Co K
48 20 12
Cartesian
-4.7479 -1.5190 4.0728
5.9344 -8.0997 1.8959
1.9839 -2.3203 13.7083
7.4312 -10.1395 -1.6087
-9.1588 -6.0533 3.5650
-5.9955 -6.3174 9.9609
-1.6316 -5.5176 10.2314
3.2116 -9.7228 -0.7694
6.2293 -10.0269 -5.8865
-4.1465 -11.8245 4.1209
-2.3769 -5.4248 -2.5218
-2.5463 -8.4291 0.4140
-6.4360 -4.4302 6.2303
0.8826 -6.6496 1.4413
-10.6626 -7.0833 0.0074
5.1356 -12.1717 3.4887
2.5916 -10.5745 6.1261
-5.8160 -3.5785 -0.6652
0.7404 -1.9889 9.4538
-9.4537 -4.1261 11.3474
-5.2083 -11.8327 -8.2474
-0.6352 -9.5438 3.7433
-5.1854 -11.5626 -0.1928
6.4350 -11.0722 7.1056
-9.5290 -9.1576 -3.4690
-10.6556 -4.0136 7.0696
-5.1993 -8.2714 -2.9948
6.3046 -4.9954 8.9299
2.7711 -7.8356 -4.5000
1.9749 -5.8816 8.4557
-6.7850 -7.6674 0.7831
-3.9648 -12.1641 -3.9929
1.9610 -2.5905 5.6537
-2.5892 -4.6092 1.7176
1.9943 -4.7575 -2.0709
-8.3600 -1.9813 1.9722
-1.5928 -8.6354 -4.7705
0.9221 -2.3285 1.3399
-9.6593 -3.0808 -1.6447
-0.2246 -11.3699 -1.9772
3.5606 -6.4856 4.6778
-0.8475 -8.7282 7.9827
-5.2187 -9.3956 7.5318
-0.6781 -5.7239 5.0469
-4.1070 -7.5034 4.0196
1.5235 -12.6340 1.3881
-2.9998 -2.7831 7.4381
7.4382 -7.0697 5.4535
5.5625 -8.5953 -0.6400
3.6391 -10.0565 -5.5625
-1.6122 -7.0765 2.7304
2.0845 -4.5201 0.5272
2.0271 -0.4106 7.4735
-7.6009 -1.3692 -0.6956
-3.2131 -3.7779 -0.6771
-8.7869 -5.5577 6.1009
-6.8635 -4.0965 11.0234
-0.0113 -10.3751 6.1380
1.7046 -5.1704 5.9585
5.9887 -5.7073 3.4260
-1.6696 -2.9670 9.6767
-3.6393 -6.6659 -4.7431
-5.5738 -1.7798 6.7780
0.0000 0.0000 0.0000
-4.9290 -8.9826 -0.4976
-1.5548 -11.1860 -4.2159
3.9616 -5.2967 -4.0475
-5.3089 -9.6329 4.9337
2.7756 -9.4852 2.7490
0.2649 -7.8531 -1.8443
-1.9347 -11.8363 1.2154
-6.0000 -4.6678 2.7119
4.6989 -8.0241 7.6715
8.0732 -10.2275 3.9533
3.6280 -3.7092 10.8810
-7.9233 -6.1290 -2.2106
-6.8524 -10.4438 -5.4202
-11.2976 -3.9256 1.5076
-1.2897 -2.3167 4.2455
-3.4893 -6.2999 7.3052
```

Computed properties:
- uncorrected formation energy (eV per atom) = -0.37
- final energy (eV per formula unit) = -64.8

***

KCoI2: optimized geometry, PBE-GGA.

The structure in POSCAR format:
```
KCoI2
1.0
8.0939 0.0000 0.0000
0.0000 8.0939 0.0000
4.0470 4.0470 4.2204
Co K I
2 2 4
Cartesian
0.0000 0.0000 0.0000
8.0939 4.0470 2.1102
4.0470 4.0470 0.0000
4.0470 8.0939 2.1102
10.1174 10.8964 3.1653
6.0705 5.2915 3.1653
1.2445 6.0705 1.0551
6.8494 2.0235 1.0551
```

Computed properties:
- distance to the lowest polymorph of the same formula (meV per atom) = 0.0
- uncorrected formation energy (eV per atom) = -0.44
- final energy (eV per formula unit) = -13.1

***

KCoI2: optimized geometry, PBE-GGA.

The structure in POSCAR format:
```
KCoI2
1.0
-3.4835 0.7831 -2.2092
-3.5462 -2.0740 0.8667
-4.7931 6.3821 5.8303
I K Co
2 1 1
Cartesian
-3.9416 4.0143 3.6483
-7.8812 1.0770 0.8395
0.0000 0.0000 0.0000
-5.9114 2.5456 2.2439
```

Computed properties:
- distance to the lowest polymorph of the same formula (meV per atom) = 277.8
- uncorrected formation energy (eV per atom) = -0.16
- final energy (eV per formula unit) = -12.0

***

KCoI2: optimized geometry, PBE-GGA.

The structure in POSCAR format:
```
KCoI2
1.0
-1.8312 -5.2467 0.5772
-2.5680 -1.5602 4.7101
-5.4847 -1.0636 -0.0291
I Co K
2 1 1
Cartesian
-7.4129 -5.9029 3.9437
-2.4710 -1.9676 1.3146
-4.9419 -3.9352 2.6291
0.0000 0.0000 0.0000
```

Computed properties:
- distance to the lowest polymorph of the same formula (meV per atom) = 488.9
- uncorrected formation energy (eV per atom) = 0.05
- final energy (eV per formula unit) = -11.1

***

K3CoI6: optimized geometry, PBE-GGA.

The structure in POSCAR format:
```
K3CoI6
1.0
-5.2413 4.7115 -0.5558
-0.4381 -1.8672 -11.6958
-7.5752 -7.8882 4.5674
I K Co
12 6 2
Cartesian
-9.6388 -3.4127 0.7622
-4.6326 1.1279 -6.7569
-3.7644 -2.3052 -2.5908
-9.0319 -3.1507 -5.0448
-6.9820 -1.7322 -8.8468
-7.8222 -6.8175 3.3797
-6.3549 -5.4589 -4.8952
-6.4414 0.0030 -2.7404
-2.8888 -2.2848 -8.3693
-7.7552 -6.9510 -0.8354
-4.2798 0.7375 -10.9417
-5.4058 -4.0909 1.2545
-12.4337 -4.0882 -4.5325
-7.3459 2.1057 -0.0065
-3.1162 1.1075 -3.3951
-8.0879 0.2451 -5.9869
-8.2040 -5.0865 -7.9211
-7.1362 -3.5186 -1.9062
-6.3612 -6.4835 1.2803
-4.7095 -0.5235 -8.7329
```

Computed properties:
- uncorrected formation energy (eV per atom) = -0.87
- final energy (eV per formula unit) = -28.4

***

no.,theoretical density (g/cm3)
1,6.297
2,4.475
3,4.226
4,3.994
5,4.738
6,3.240